Here is CePu2Tl after structural relaxation from Alexandria. Energies are from PBE.

```
4
Lattice="-1.562 2.962 2.399 -2.905 2.522 -1.470 -6.697 -2.809 2.644" Properties=species:S:1:pos:R:3 pbc="T T T"
Ce -9.651 0.868 3.252
Pu -2.501 0.927 0.763
Pu -5.689 -1.912 2.192
Tl -5.602 1.320 1.795
```

The calculation puts the energy above the most stable polymorph in this dataset at 0.365 eV per atom. The density of states at the Fermi level is 11.1 states/eV/f.u. As for the space group: No. 160. Its theoretical density is 12.795 Mg/m³.

***

Here is HoZr3Fe8 after structural relaxation from Alexandria. Energies are from PBE.

```
12
Lattice="4.795 0.000 1.448 2.179 4.271 1.448 -0.008 -0.005 8.693" Properties=species:S:1:pos:R:3 pbc="T T T"
Zr 3.479 2.130 5.809
Zr 2.608 1.597 8.693
Zr -0.005 -0.003 8.681
Fe 3.056 1.872 2.867
Fe 4.148 4.012 3.592
Fe 5.435 1.856 7.993
Fe 6.528 3.998 8.719
Fe 4.123 3.998 7.993
Fe 5.458 1.872 3.592
Fe 4.787 2.932 10.139
Fe 1.304 0.798 4.348
Ho 6.099 3.736 5.794
```

The density of states at the Fermi level is 5.8 states/eV/f.u. The calculated total energy comes out at -8.3980 eV/atom. As for the space group: No. 160. Its theoretical density is 8.253 Mg/m³.

***

Here is SrY2OsS after structural relaxation from Alexandria. Energies are from PBE.

```
5
Lattice="-1.376 5.096 -2.222 -3.908 -1.830 -1.777 -2.812 1.337 4.807" Properties=species:S:1:pos:R:3 pbc="T T T"
Y -0.688 2.548 -1.111
Y -1.406 0.669 2.403
Os -1.954 -0.915 -0.888
S -4.048 2.301 0.404
Sr 0.000 0.000 0.000
```

The density of states at the Fermi level is 6.7 states/eV/f.u. For the raw formation energy, the calculation gives 8.4 eV/f.u. As for the space group: No. 123. Its theoretical density is 5.291 Mg/m³.

***

Here is RbAlIr2 after structural relaxation from Alexandria. Energies are from PBE.

```
8
Lattice="5.002 0.000 0.000 0.000 5.002 0.000 2.501 2.501 8.591" Properties=species:S:1:pos:R:3 pbc="T T T"
Al 2.501 5.002 4.295
Al 2.501 2.501 0.000
Ir 6.252 5.002 6.443
Ir 3.751 5.001 6.443
Ir 2.501 3.751 2.148
Ir 2.501 1.250 2.148
Rb 5.002 2.501 4.295
Rb 0.000 0.000 0.000
```

The density of states at the Fermi level is 3.4 states/eV/f.u. The calculated total energy comes out at -5.1689 eV/atom. As for the space group: No. 141. Its theoretical density is 7.678 Mg/m³.

***

Here is CsBaSr2Cu after structural relaxation from Alexandria. Energies are from PBE.

```
5
Lattice="-4.982 2.272 3.260 -3.856 -1.505 -4.845 -0.987 -5.937 2.629" Properties=species:S:1:pos:R:3 pbc="T T T"
Ba -0.493 -2.969 1.315
Sr -2.491 1.136 1.630
Sr -1.928 -0.752 -2.423
Cs -4.913 -2.585 0.522
Cu 0.000 0.000 0.000
```

The density of states at the Fermi level is 4.6 states/eV/f.u. The calculated total energy comes out at -1.9723 eV/atom. As for the space group: No. 123. Its theoretical density is 3.169 Mg/m³.

***

Here is Li3Ce3AlS8 after structural relaxation from Alexandria. Energies are from PBE.

```
15
Lattice="-1.956 0.529 7.660 5.846 -4.842 -2.271 0.776 7.573 -0.325" Properties=species:S:1:pos:R:3 pbc="T T T"
S 5.579 -2.680 -0.654
S -0.913 5.940 5.718
S 1.882 -0.220 4.594
S 0.167 5.647 1.486
S 2.071 3.692 4.372
S 2.784 3.480 0.470
S 2.594 -0.432 0.692
S 4.498 -2.388 3.578
Ce 2.333 1.630 2.532
Ce 3.311 1.365 -1.298
Ce -0.590 4.051 3.667
Li 0.000 0.000 0.000
Li 1.945 -2.156 2.695
Li 2.923 -2.421 -1.135
Al 0.388 3.786 -0.163
```

The density of states at the Fermi level is 13.8 states/eV/f.u. For the raw formation energy, the calculation gives -23.6 eV/f.u. As for the space group: No. 166. Its theoretical density is 3.633 Mg/m³.

***

Here is CdGe6Pt12 after structural relaxation from Alexandria. Energies are from PBE.

```
19
Lattice="-0.686 -3.984 -6.175 7.114 -0.128 1.962 -3.840 -3.413 5.299" Properties=species:S:1:pos:R:3 pbc="T T T"
Ge -1.126 -5.422 -0.039
Ge 3.714 -2.102 1.125
Ge -0.920 -3.492 2.537
Ge 0.414 -3.734 -2.316
Ge 2.173 -3.791 3.402
Ge 3.507 -4.033 -1.451
Pt -0.653 -2.859 -0.037
Pt 4.209 -2.321 3.583
Pt -1.621 -5.203 -2.498
Pt -2.800 -4.990 1.790
Pt 1.435 -5.558 -0.760
Pt 1.152 -1.967 1.846
Pt 3.240 -4.666 1.123
Pt 5.387 -2.535 -0.704
Pt 1.882 -2.099 -0.809
Pt 2.472 -3.976 -3.745
Pt 0.706 -5.426 1.895
Pt 0.115 -3.549 4.831
Cd 0.000 0.000 0.000
```

The density of states at the Fermi level is 8.9 states/eV/f.u. The calculated total energy comes out at -5.6026 eV/atom. As for the space group: No. 166. Its theoretical density is 14.582 Mg/m³.

***

Here is Co2Ni2Mo after structural relaxation from Alexandria. Energies are from PBE.

```
10
Lattice="6.865 0.000 0.000 0.000 6.865 0.000 0.000 0.000 2.546" Properties=species:S:1:pos:R:3 pbc="T T T"
Mo 0.000 0.000 0.000
Mo 3.432 3.432 0.000
Co 4.263 0.831 0.000
Co 0.831 2.602 0.000
Co 6.034 4.263 0.000
Co 2.602 6.034 0.000
Ni 5.662 2.229 1.273
Ni 4.635 5.662 1.273
Ni 1.203 4.635 1.273
Ni 2.229 1.203 1.273
```

The calculation puts the energy above the most stable polymorph in this dataset at 0.000 eV per atom. The density of states at the Fermi level is 6.0 states/eV/f.u. As for the space group: No. 127. Its theoretical density is 9.168 Mg/m³.

***

Here is CsK2SrCd after structural relaxation from Alexandria. Energies are from PBE.

```
5
Lattice="7.046 0.000 0.000 0.000 7.046 0.000 0.000 0.000 6.686" Properties=species:S:1:pos:R:3 pbc="T T T"
Cd 0.000 0.000 0.000
Cs 3.523 3.523 3.343
Sr 0.000 0.000 3.343
K 3.523 0.000 0.000
K 0.000 3.523 0.000
```

The density of states at the Fermi level is 4.1 states/eV/f.u. The calculated total energy comes out at -1.0905 eV/atom. As for the space group: No. 123. Its theoretical density is 2.056 Mg/m³.

***

Here is HfInH after structural relaxation from Alexandria. Energies are from PBE.

```
3
Lattice="-2.518 0.957 -1.311 -0.153 -2.548 -1.568 -1.608 -1.483 5.429" Properties=species:S:1:pos:R:3 pbc="T T T"
In -0.025 -0.019 0.033
H -1.580 -1.223 2.141
Hf -2.674 -1.832 0.375
```

The calculation puts the energy above the most stable polymorph in this dataset at 0.281 eV per atom. The density of states at the Fermi level is 0.9 states/eV/f.u. As for the space group: No. 107. Its theoretical density is 9.980 Mg/m³.

***

Here is Nb2ZnGa3 after structural relaxation from Alexandria. Energies are from PBE.

```
6
Lattice="4.739 0.000 0.000 0.000 5.326 0.000 -2.369 -2.663 4.197" Properties=species:S:1:pos:R:3 pbc="T T T"
Nb 0.000 2.663 2.797
Nb 2.369 0.000 1.400
Ga 0.000 0.000 0.000
Ga 0.000 0.000 2.785
Ga 2.369 2.663 1.412
Zn 0.000 2.663 0.000
```

The density of states at the Fermi level is 1.9 states/eV/f.u. The calculated total energy comes out at -5.0213 eV/atom. As for the space group: No. 71. Its theoretical density is 7.218 Mg/m³.

***

Here is CsCoMo2 after structural relaxation from Alexandria. Energies are from PBE.

```
8
Lattice="-1.319 4.813 -0.030 -3.518 -0.943 3.411 2.887 3.425 7.573" Properties=species:S:1:pos:R:3 pbc="T T T"
Mo -1.882 1.746 4.016
Mo -1.425 6.127 8.017
Mo -0.302 2.869 2.307
Mo -0.289 3.848 7.570
Co -2.418 1.935 1.691
Co -1.524 2.209 6.338
Cs -0.425 5.086 4.617
Cs 0.000 0.000 0.000
```

The calculation puts the energy above the most stable polymorph in this dataset at 0.000 eV per atom. The density of states at the Fermi level is 7.7 states/eV/f.u. As for the space group: No. 122. Its theoretical density is 6.349 Mg/m³.

***

Here is CsAcTe2O8 after structural relaxation from Alexandria. Energies are from PBE.

```
12
Lattice="6.288 0.000 0.000 -3.144 5.446 0.000 0.000 0.000 8.890" Properties=species:S:1:pos:R:3 pbc="T T T"
Ac 0.000 0.000 4.445
Te 0.000 3.631 6.678
Te 3.144 1.815 2.212
Cs 0.000 0.000 0.000
O 1.633 0.986 2.881
O 3.144 1.815 0.391
O 4.618 0.922 2.881
O 1.511 4.460 6.009
O 3.181 3.539 2.881
O 0.000 3.631 8.499
O -0.037 1.907 6.009
O -1.474 4.524 6.009
```

The density of states at the Fermi level is 0.0 states/eV/f.u. For the raw formation energy, the calculation gives -19.2 eV/f.u. As for the space group: No. 147. Its theoretical density is 4.053 Mg/m³.

***

Here is Be2PIrO after structural relaxation from Alexandria. Energies are from PBE.

```
5
Lattice="-0.707 0.404 -3.194 -5.906 -0.850 1.200 -0.366 3.238 0.491" Properties=species:S:1:pos:R:3 pbc="T T T"
Ir -2.953 -0.425 0.600
P -3.489 1.396 -0.751
O 0.000 0.000 0.000
Be -0.183 1.619 0.245
Be -0.354 0.202 -1.597
```

The density of states at the Fermi level is 2.0 states/eV/f.u. For the raw formation energy, the calculation gives -1.3 eV/f.u. As for the space group: No. 123. Its theoretical density is 6.461 Mg/m³.

***

Here is ZnInMo2 after structural relaxation from Alexandria. Energies are from PBE.

```
4
Lattice="4.923 -0.015 0.006 4.129 2.680 0.006 0.468 0.138 5.092" Properties=species:S:1:pos:R:3 pbc="T T T"
Mo 9.487 2.793 4.987
Mo 7.193 2.117 3.883
Zn 4.733 1.393 2.554
In 2.386 0.702 1.339
```

The calculation puts the energy above the most stable polymorph in this dataset at 0.165 eV per atom. The density of states at the Fermi level is 2.6 states/eV/f.u. As for the space group: No. 8. Its theoretical density is 9.154 Mg/m³.

***

Here is Th2HgPb5 after structural relaxation from Alexandria. Energies are from PBE.

```
16
Lattice="4.928 0.000 0.000 0.000 6.835 0.000 0.000 0.000 13.686" Properties=species:S:1:pos:R:3 pbc="T T T"
Pb 0.000 6.794 3.467
Pb 2.464 1.641 5.193
Pb 2.464 5.194 8.494
Pb 0.000 0.042 10.219
Pb 0.000 3.459 10.310
Pb 0.000 0.000 0.000
Pb 2.464 1.777 12.036
Pb 2.464 5.058 1.651
Pb 0.000 3.376 3.376
Pb 0.000 3.418 6.843
Th 2.464 5.192 11.933
Th 2.464 5.060 5.089
Th 2.464 1.775 8.597
Th 2.464 1.643 1.754
Hg 0.000 3.418 0.000
Hg 0.000 0.000 6.843
```

The density of states at the Fermi level is 5.3 states/eV/f.u. The calculated total energy comes out at -4.4625 eV/atom. As for the space group: No. 55. Its theoretical density is 12.251 Mg/m³.

***

Here is Th3P2PdRh9 after structural relaxation from Alexandria. Energies are from PBE.

```
15
Lattice="-5.587 -0.178 -1.257 3.650 -3.521 -2.666 -1.399 -6.903 7.201" Properties=species:S:1:pos:R:3 pbc="T T T"
Rh -2.194 -5.493 4.251
Rh -5.094 -5.585 3.599
Rh -2.794 -0.089 -0.628
Rh -0.969 -1.850 -1.961
Rh -3.199 -7.413 2.215
Rh 1.757 -5.017 -0.321
Rh -1.143 -5.110 -0.973
Rh -0.137 -3.190 1.063
Rh 1.825 -1.761 -1.333
Pd -0.700 -3.452 3.600
P 0.353 -3.482 -1.075
P -3.690 -7.120 4.353
Th -0.287 -6.639 2.219
Th 0.000 0.000 0.000
Th -3.050 -3.963 1.059
```

The density of states at the Fermi level is 10.2 states/eV/f.u. The calculated total energy comes out at -7.6048 eV/atom. As for the space group: No. 164. Its theoretical density is 10.383 Mg/m³.

***

Here is TlSbAu2 after structural relaxation from Alexandria. Energies are from PBE.

```
8
Lattice="-3.085 -0.405 -3.281 -2.679 -0.568 5.705 -1.130 7.142 0.180" Properties=species:S:1:pos:R:3 pbc="T T T"
Au -2.647 -0.004 -0.627
Au -4.247 6.173 3.231
Au -3.089 2.789 -0.556
Au -3.805 3.380 3.161
Sb -4.664 4.739 0.685
Sb -2.229 1.430 1.920
Tl -5.588 0.896 2.028
Tl -1.306 5.273 0.577
```

The calculation puts the energy above the most stable polymorph in this dataset at 0.069 eV per atom. The density of states at the Fermi level is 1.9 states/eV/f.u. For the raw formation energy, the calculation gives 0.0 eV/f.u. As for the space group: No. 63. Its theoretical density is 12.371 Mg/m³.

***

Here is Sr2TlBi after structural relaxation from Alexandria. Energies are from PBE.

```
4
Lattice="-1.784 3.807 -1.739 -5.099 -1.832 1.220 0.320 2.427 4.984" Properties=species:S:1:pos:R:3 pbc="T T T"
Bi -3.281 2.201 2.233
Tl -0.892 1.903 -0.870
Sr -2.549 -0.916 0.610
Sr 0.160 1.214 2.492
```

The calculation puts the energy above the most stable polymorph in this dataset at 0.000 eV per atom. The density of states at the Fermi level is 2.3 states/eV/f.u. As for the space group: No. 123. Its theoretical density is 6.966 Mg/m³.

***

Here is Zn2SnGe2 after structural relaxation from Alexandria. Energies are from PBE.

```
5
Lattice="-2.074 1.014 -3.449 -3.594 -0.646 1.972 -2.912 5.792 0.957" Properties=species:S:1:pos:R:3 pbc="T T T"
Sn 0.000 0.000 0.000
Zn -5.730 4.793 -0.139
Zn -2.851 1.367 -0.381
Ge -4.670 2.665 1.095
Ge -3.910 3.495 -1.615
```

The calculation puts the energy above the most stable polymorph in this dataset at 0.011 eV per atom. The density of states at the Fermi level is 2.0 states/eV/f.u. As for the space group: No. 139. Its theoretical density is 6.496 Mg/m³.